Here is a geometry-optimized BeTlH2Rh structure from Alexandria via LeMat-Bulk. Energies are from PBE-GGA.

Unit cell a=3.4728 b=5.7968 c=3.4728 alpha=90.00 beta=90.00 gamma=90.00
With the nearest neighbours (Å) after each atom.
Atoms (fractional coordinates):
1 Be 0.0000 0.5000 0.0000  4 Rh 2.46
2 Tl 0.0000 0.0000 0.0000  4 H 1.74
3 Rh 0.5000 0.5000 0.5000  4 Be 2.46
4 H 0.0000 0.0000 0.5000  2 Tl 1.74
5 H 0.5000 0.0000 0.0000  2 Tl 1.74

Values from the calculation:
The calculation puts the total energy at -3.2004 eV/atom. For the calculated volume, the calculation gives 69.9 Å³/f.u. The spin magnetization comes out at 0.00 Bohr magnetons per cell.